DFT (PBE-GGA) results for TcPW2 after structural relaxation.

Cell: 2.923 2.923 6.793 Å, 90.00 90.00 90.00°
Space group P4/mmm (No. 123)
Symmetry-distinct sites (fractional):
Tc1 0.000 0.000 0.000
P1 0.000 0.000 0.500
W1 0.500 0.500 0.273

Results
V = 14.511 Å³/atom
total DFT energy (no corrections) = -41.644 eV for the cell shown

DFT (PBE-GGA) results for Sc2NbV2Ru5 after structural relaxation.

Cell: 9.779 9.779 3.371 Å, 90.00 90.00 90.00°
Space group P4/mbm (No. 127)
Symmetry-distinct sites (fractional):
Sc1 0.173 0.327 0.000
Nb1 0.000 0.000 0.000
V1 0.126 0.626 0.000
Ru1 0.000 0.500 0.500
Ru2 0.068 0.795 0.500

Results
V = 16.117 Å³/atom
total DFT energy (no corrections) = -180.083 eV for the cell shown